No. 1
Material: Cs3In2Hg5Te2
Method: DFT, PBE
State: relaxed

Cell: 5.741 5.741 32.661 Å, 90.00 90.00 90.00°
Space group I4/mmm (No. 139)
Unique sites:
Cs 0.000 0.000 0.000
Cs 0.000 0.000 0.195
In 0.000 0.000 0.398
Hg 0.000 0.000 0.500
Hg 0.000 0.500 0.082
Te 0.000 0.000 0.313

## Properties
For the final energy, the calculation gives -1.6944 eV per atom. The volume comes out at 44.845 Å³/atom.

=====

No. 2
Material: FeAsAu3
Method: DFT, PBE
State: relaxed

Cell: 4.806 4.806 4.806 Å, 90.00 90.00 90.00°
Space group Pm-3m (No. 221)
Unique sites:
Fe 0.000 0.000 0.000
As 0.500 0.500 0.500
Au 0.000 0.000 0.500

## Properties
For the final energy, the calculation gives -3.6904 eV per atom. The calculated formation energy is 0.898 eV/atom. The energy above the most stable polymorph in this dataset is 48.5 meV/atom. The volume comes out at 22.208 Å³/atom.

=====

What is the volume in the first record?
44.845 Å³/atom